## PuMg2ScN4 (PBE-GGA)

Data for a geometry-optimized PuMg2ScN4 structure.

```
8
Lattice="-0.221 -2.242 -2.418 -2.611 -3.511 3.492 -3.742 3.070 -2.504" Properties=species:S:1:pos:R:3 pbc="T T T"
Mg -3.177 -0.220 0.494
Mg -1.982 0.414 -2.461
Pu 0.000 0.000 0.000
N -4.898 -1.433 -0.483
N -2.840 -1.937 2.055
N -1.676 -1.249 -0.947
N -3.513 1.497 -1.067
Sc -1.416 -2.876 0.537
```

## Properties
Total moment: 0.3750 μB per atom
Uncorrected energy: -8.31 eV per atom
Formation energy (no corrections): -1164.7 meV/atom